CaTlSe2 after structural relaxation, computed with PBE.

```
CaTlSe2
1.0
-3.162 -0.440 6.847
2.201 -3.892 -2.836
2.830 -1.019 2.373
Tl Ca Se
1 1 2
Direct
0.000 0.500 0.500
0.500 0.500 0.000
0.000 0.000 0.000
0.500 0.000 0.500
```

Its electronic total energy is -3.720 eV per atom. For the energy relative to the elements, uncorrected, the calculation gives -3.543 eV/f.u. Its space group is C2/m, No. 12.

SmDy2CdC after structural relaxation, computed with PBE.

```
SmDy2CdC
1.0
5.109 0.000 0.000
0.000 4.910 0.000
0.000 0.000 4.910
Sm Dy Cd C
1 2 1 1
Direct
0.500 0.000 0.000
0.000 0.000 0.500
0.000 0.500 0.000
0.500 0.500 0.500
0.000 0.000 0.000
```

Its electronic total energy is -5.080 eV per atom. The value obtained for the formation energy is -0.27 eV/atom. Its space group is P4/mmm, No. 123.

Tm3MgRh8 after structural relaxation, computed with PBE.

```
Tm3MgRh8
1.0
5.043 0.000 1.522
2.292 4.493 1.522
-0.011 -0.007 9.150
Tm Mg Rh
3 1 8
Direct
0.376 0.376 0.873
0.996 0.996 0.011
0.503 0.503 0.490
0.874 0.874 0.379
0.938 0.437 0.188
0.438 0.938 0.686
0.437 0.437 0.188
0.938 0.938 0.686
0.188 0.188 0.437
0.688 0.688 0.937
0.437 0.938 0.188
0.938 0.438 0.686
```

Its electronic total energy is -6.816 eV per atom. The value obtained for the formation energy is -0.66 eV/atom. Its space group is R3m, No. 160.